Here is a geometry-optimized Pm3SmDy2Te6 structure from the Alexandria database. Energies are from GGA-PBE.

The structure in CIF format:
```
data_Pm3SmDy2Te6
_cell_length_a 19.311
_cell_length_b 4.398
_cell_length_c 8.909
_cell_angle_alpha 90.00
_cell_angle_beta 103.60
_cell_angle_gamma 90.00
_symmetry_space_group_name_H-M 'C 1 2/m 1'
_symmetry_Int_Tables_number 12
loop_
_symmetry_equiv_pos_as_xyz
'x,y,z'
'-x,-y,-z'
'-x,y,-z'
'x,-y,z'
'x+1/2,y+1/2,z'
'-x+1/2,-y+1/2,-z'
'-x+1/2,y+1/2,-z'
'x+1/2,-y+1/2,z'
loop_
_atom_site_label
_atom_site_type_symbol
_atom_site_fract_x
_atom_site_fract_y
_atom_site_fract_z
Pm1 Pm 0.000 0.000 0.000
Pm2 Pm 0.163 0.500 0.333
Sm1 Sm 0.000 0.000 0.500
Dy1 Dy 0.165 0.500 0.831
Te1 Te 0.003 0.500 0.751
Te2 Te 0.168 0.000 0.590
Te3 Te 0.169 0.000 0.078
```

**E_form (uncorrected)**: -1.363 eV/atom

Here is a geometry-optimized PmSm4Dy3Te8 structure from the Alexandria database. Energies are from GGA-PBE.

The structure in CIF format:
```
data_PmSm4Dy3Te8
_cell_length_a 8.8221
_cell_length_b 8.8221
_cell_length_c 21.6574
_cell_angle_alpha 90.00
_cell_angle_beta 90.00
_cell_angle_gamma 120.00
_symmetry_space_group_name_H-M 'R -3 m'
_symmetry_Int_Tables_number 166
_symmetry_space_group_name_Hall '-R 3 2"'
loop_
_atom_site_label
_atom_site_type_symbol
_atom_site_fract_x
_atom_site_fract_y
_atom_site_fract_z
Pm1 Pm 0.0000 0.0000 0.0000
Sm1 Sm 0.0000 0.0000 0.5000
Sm2 Sm 0.0000 0.5000 0.5000
Dy1 Dy 0.0000 0.5000 0.0000
Te1 Te 0.0000 0.0000 0.2527
Te2 Te 0.0044 0.5022 0.2516
```

**E_form (uncorrected)**: -1.343 eV/atom